Record 1
! Ca2SbCSe (meta-GGA SCAN, PBEsol geometry); values from VASP
! formation energy without anion corrections	137.1	meV/atom
&SYSTEM
  ibrav = 0, nat = 5, ntyp = 4
/
ATOMIC_SPECIES
Ca 40.08 Ca.upf
Sb 121.76 Sb.upf
C 12.01 C.upf
Se 78.96 Se.upf
CELL_PARAMETERS angstrom
5.7894 0.0000 0.0000
0.0000 5.7894 0.0000
0.0000 0.0000 4.1417
ATOMIC_POSITIONS angstrom
Ca 0.0000 2.8947 0.0000
Ca 2.8947 0.0000 0.0000
Sb 0.0000 0.0000 0.0000
C 0.0000 0.0000 2.0708
Se 2.8947 2.8947 2.0708

=====

Record 2
! ReRu2Pt (meta-GGA SCAN, PBEsol geometry); values from VASP
! formation energy	-18	meV/atom
&SYSTEM
  ibrav = 0, nat = 4, ntyp = 3
/
ATOMIC_SPECIES
Re 186.21 Re.upf
Ru 101.07 Ru.upf
Pt 195.08 Pt.upf
CELL_PARAMETERS angstrom
4.4867 -1.3438 0.0000
4.4867 1.3438 0.0000
-0.8023 0.0000 4.6507
ATOMIC_POSITIONS angstrom
Re 0.0000 0.0000 0.0000
Ru 1.6739 0.0000 3.5480
Ru 6.4972 0.0000 1.1027
Pt 4.0855 0.0000 2.3253

=====

Record 3
! Be2ReTe (meta-GGA SCAN, PBEsol geometry); values from VASP
! formation energy without anion corrections	599.5	meV/atom
&SYSTEM
  ibrav = 0, nat = 4, ntyp = 3
/
ATOMIC_SPECIES
Be 9.01 Be.upf
Re 186.21 Re.upf
Te 127.60 Te.upf
CELL_PARAMETERS angstrom
-1.6696 2.1086 3.8809
1.6696 -2.1086 3.8809
1.6696 2.1086 -3.8809
ATOMIC_POSITIONS angstrom
Be 0.0000 0.0000 1.8809
Be 0.0000 0.0000 5.8809
Re 1.6696 0.0000 0.0000
Te 0.0000 2.1086 0.0000

=====

Record 4
! TaCd2Br (meta-GGA SCAN, PBEsol geometry); values from VASP
! formation energy without anion corrections	220.3	meV/atom
&SYSTEM
  ibrav = 0, nat = 4, ntyp = 3
/
ATOMIC_SPECIES
Ta 180.95 Ta.upf
Cd 112.41 Cd.upf
Br 79.90 Br.upf
CELL_PARAMETERS angstrom
1.9221 -2.4433 0.0000
1.9221 2.4433 0.0000
0.0000 0.0000 8.7558
ATOMIC_POSITIONS angstrom
Ta 0.0000 0.0000 0.0000
Cd 1.9221 0.0000 2.1219
Cd 1.9221 0.0000 6.6340
Br 0.0000 0.0000 4.3779

=====

Record 5
! BeCr2Ir (meta-GGA SCAN, PBEsol geometry); values from VASP
! formation energy	-390	meV/atom
&SYSTEM
  ibrav = 0, nat = 4, ntyp = 3
/
ATOMIC_SPECIES
Be 9.01 Be.upf
Cr 52.00 Cr.upf
Ir 192.22 Ir.upf
CELL_PARAMETERS angstrom
2.8695 0.0000 0.0000
0.0000 3.7402 0.0000
0.0000 0.0000 4.2183
ATOMIC_POSITIONS angstrom
Be 0.0000 0.0000 0.0000
Cr 0.0000 1.8701 2.1091
Cr 1.4347 0.0000 2.1091
Ir 1.4347 1.8701 0.0000

=====

Record 6
! Rb3InRu (meta-GGA SCAN, PBEsol geometry); values from VASP
! formation energy	1201	meV/atom
&SYSTEM
  ibrav = 0, nat = 5, ntyp = 3
/
ATOMIC_SPECIES
Rb 85.47 Rb.upf
In 114.82 In.upf
Ru 101.07 Ru.upf
CELL_PARAMETERS angstrom
6.7143 0.0000 0.0000
0.0000 6.7143 0.0000
0.0000 0.0000 6.7143
ATOMIC_POSITIONS angstrom
Rb 0.0000 0.0000 3.3571
Rb 0.0000 3.3571 0.0000
Rb 3.3571 0.0000 0.0000
In 0.0000 0.0000 0.0000
Ru 3.3571 3.3571 3.3571

=====

Record 7
! Sc2CCl2 (meta-GGA SCAN, PBEsol geometry); values from VASP
! formation energy without anion corrections	-1775.8	meV/atom
&SYSTEM
  ibrav = 0, nat = 5, ntyp = 3
/
ATOMIC_SPECIES
Sc 44.96 Sc.upf
C 12.01 C.upf
Cl 35.45 Cl.upf
CELL_PARAMETERS angstrom
3.4035 0.0000 0.0000
-1.7018 2.9475 0.0000
0.0000 0.0000 9.2591
ATOMIC_POSITIONS angstrom
Sc 0.0000 1.9650 3.4053
Sc 1.7018 0.9825 5.8538
C 0.0000 0.0000 4.6295
Cl 0.0000 1.9650 7.5080
Cl 1.7018 0.9825 1.7511

=====

Record 8
! MnCoAg2 (meta-GGA SCAN, PBEsol geometry); values from VASP
! formation energy	291	meV/atom
&SYSTEM
  ibrav = 0, nat = 4, ntyp = 3
/
ATOMIC_SPECIES
Mn 54.94 Mn.upf
Co 58.93 Co.upf
Ag 107.87 Ag.upf
CELL_PARAMETERS angstrom
1.3599 0.7851 8.9754
-1.3599 0.7851 8.9754
0.0000 -1.5703 8.9754
ATOMIC_POSITIONS angstrom
Mn 0.0000 0.0000 0.0000
Co 0.0000 0.0000 13.4632
Ag 0.0000 0.0000 6.6818
Ag 0.0000 0.0000 20.2445